# Sr2ThMnO6

Sr2ThMnO6 after structural relaxation (GGA+U, the Alexandria database).

Summary:
Uncorrected energy, eV/atom: -7.49

Lattice parameters (Å, degrees): 10.072 5.856 5.922 90.00 124.63 90.00
Space group C2/m (No. 12)
Inequivalent atoms, fractional coordinates:
Sr (0.246, 0.000, 0.232)
Th (0.000, 0.000, 0.500)
Mn (0.000, 0.500, 0.000)
O (0.045, 0.266, 0.817)
O (0.230, 0.500, 0.310)